Here is a relaxed structure of BaTbGaS3 from the Open Quantum Materials Database. Energies are from PBE.

The structure belongs to space group Cmcm (No. 63); the cell edges are 4.0671, 14.2781 and 11.2892 Å and the angles 90.00°, 90.00° and 90.00°. The inequivalent atoms are Ba at (0.0000, 0.1941, 0.2500), Tb at (0.0000, 0.5000, 0.0000), Ga at (0.0000, 0.1094, 0.7500), S at (0.0000, 0.1276, 0.5077) and S at (0.0000, 0.4911, 0.7500).

The calculation puts the calculated volume at 27.32 Å³ per atom. The calculation puts the total energy at -5.121 eV per atom.

Here is a relaxed structure of BaGaGeAu2 from the Open Quantum Materials Database. Energies are from PBE.

The structure belongs to space group P4/nmm (No. 129, origin choice 2); the cell edges are 4.6772, 4.6772 and 10.7298 Å and the angles 90.00°, 90.00° and 90.00°. The inequivalent atoms are Ba at (0.2500, 0.2500, 0.2477), Ga at (0.2500, 0.7500, 0.5000), Ge at (0.2500, 0.2500, 0.8734), Au at (0.2500, 0.2500, 0.6245) and Au at (0.2500, 0.7500, 0.0000).

The calculation puts the calculated volume at 23.47 Å³ per atom. The relative energy among the computed polymorphs is 0.00 eV/f.u. The calculation puts the total energy at -3.768 eV per atom.

Here is a relaxed structure of ErLuZn2Ge2 from the Open Quantum Materials Database. Energies are from PBE.

The structure belongs to space group P6_3/mmc (No. 194); the cell edges are 4.2078, 4.2078 and 15.3216 Å and the angles 90.00°, 90.00° and 120.00°. The inequivalent atoms are Er at (0.0000, 0.0000, 0.0000), Lu at (0.0000, 0.0000, 0.2500), Zn at (0.3333, 0.6667, 0.1503) and Ge at (0.3333, 0.6667, 0.6135).

The calculation puts the calculated volume at 19.58 Å³ per atom. The relative energy among the computed polymorphs is 0.00 eV/f.u. The calculation puts the total energy at -4.099 eV per atom.

Here is a relaxed structure of Ba2ZnSe3 from the Open Quantum Materials Database. Energies are from PBE.

The structure belongs to space group Pnma (No. 62); the cell edges are 9.2569, 4.4609 and 17.8457 Å and the angles 90.00°, 90.00° and 90.00°. The inequivalent atoms are Ba at (0.0830, 0.2500, 0.2131), Ba at (0.2492, 0.7500, 0.4572), Zn at (0.1367, 0.2500, 0.6355), Se at (0.0051, 0.7500, 0.6012), Se at (0.1261, 0.7500, 0.0711) and Se at (0.1801, 0.2500, 0.7733).

The calculation puts the calculated volume at 30.70 Å³ per atom. The calculation puts the total energy at -4.196 eV per atom.

Here is a relaxed structure of ErAsN2O from the Open Quantum Materials Database. Energies are from PBE.

The structure belongs to space group Pnma (No. 62); the cell edges are 5.3525, 7.8080 and 5.2235 Å and the angles 90.00°, 90.00° and 90.00°. The inequivalent atoms are Er at (0.0634, 0.2500, 0.0202), As at (0.0000, 0.0000, 0.5000), N at (0.2004, 0.5488, 0.8018) and O at (0.0200, 0.7500, 0.4016).

The calculation puts the calculated volume at 10.92 Å³ per atom. The calculation puts the total energy at -7.023 eV per atom.

Here is a relaxed structure of ZrPb from the Open Quantum Materials Database. Energies are from PBE.

The structure belongs to space group Amm2 (No. 38); the cell edges are 5.5442, 15.9508 and 5.5804 Å and the angles 90.00°, 90.00° and 90.00°. The inequivalent atoms are Zr at (0.0000, 0.0000, 0.0000), Zr at (0.0000, 0.1938, 0.9617), Zr at (0.5000, 0.1959, 0.4456), Pb at (0.0000, 0.1123, 0.4706), Pb at (0.5000, 0.0000, 0.4398) and Pb at (0.5000, 0.1112, 0.9444).

The calculation puts the calculated volume at 24.67 Å³ per atom. The calculation puts the total energy at -6.185 eV per atom.

Here is a relaxed structure of Sm4HoAg5 from the Open Quantum Materials Database. Energies are from PBE.

The structure belongs to space group P4/mmm (No. 123); the cell edges are 3.6595, 3.6595 and 18.6744 Å and the angles 90.00°, 90.00° and 90.00°. The inequivalent atoms are Sm at (0.0000, 0.0000, 0.1008), Sm at (0.0000, 0.0000, 0.3031), Ho at (0.0000, 0.0000, 0.5000), Ag at (0.5000, 0.5000, 0.0000), Ag at (0.5000, 0.5000, 0.2018) and Ag at (0.5000, 0.5000, 0.4065).

The calculation puts the calculated volume at 25.01 Å³ per atom. For the formation energy, the calculation gives -303 meV/atom. The calculation puts the total energy at -4.057 eV per atom.

Here is a relaxed structure of Sm2Sc2CI2Br3 from the Open Quantum Materials Database. Energies are from PBE.

The structure belongs to space group C2/m (No. 12); the cell edges are 18.2664, 3.8143 and 8.1244 Å and the angles 90.00°, 102.20° and 90.00°. The inequivalent atoms are Sm at (0.1365, 0.0000, 0.0704), Sc at (0.9997, 0.5000, 0.1857), C at (0.0000, 0.0000, 0.0000), I at (0.1666, 0.5000, 0.7924), Br at (0.0000, 0.0000, 0.5000) and Br at (0.1494, 0.5000, 0.3422).

The calculation puts the calculated volume at 27.66 Å³ per atom. The relative energy among the computed polymorphs is 0.59 eV/f.u. The calculation puts the total energy at -5.169 eV per atom.

Here is a relaxed structure of SrBeRe from the Open Quantum Materials Database. Energies are from PBE.

The structure belongs to space group F-43m (No. 216); the cell edges are 6.3084, 6.3084 and 6.3084 Å and the angles 90.00°, 90.00° and 90.00°. The inequivalent atoms are Sr at (0.0000, 0.0000, 0.0000), Be at (0.2500, 0.2500, 0.7500) and Re at (0.0000, 0.0000, 0.5000).

The calculation puts the calculated volume at 20.92 Å³ per atom. The relative energy among the computed polymorphs is 0.00 eV/f.u. The calculation puts the total energy at -4.549 eV per atom.

Here is a relaxed structure of RbSmW from the Open Quantum Materials Database. Energies are from PBE.

The structure belongs to space group F-43m (No. 216); the cell edges are 7.4899, 7.4899 and 7.4899 Å and the angles 90.00°, 90.00° and 90.00°. The inequivalent atoms are Rb at (0.0000, 0.0000, 0.0000), Sm at (0.2500, 0.2500, 0.2500) and W at (0.0000, 0.0000, 0.5000).

The calculation puts the calculated volume at 35.01 Å³ per atom. The calculation puts the total energy at -4.008 eV per atom.

Here is a relaxed structure of Lu4Mo2P3N3 from the Open Quantum Materials Database. Energies are from PBE.

The structure belongs to space group C2/c (No. 15); the cell edges are 10.2244, 5.9382 and 12.3142 Å and the angles 90.00°, 105.49° and 90.00°. The inequivalent atoms are Lu at (0.1190, 0.0859, 0.1068), Lu at (0.2157, 0.0791, 0.3933), Mo at (0.0445, 0.4260, 0.9119), P at (0.0000, 0.1308, 0.7500), P at (0.1424, 0.4386, 0.2508), N at (0.0862, 0.2428, 0.5004) and N at (0.2500, 0.2500, 0.0000).

The calculation puts the calculated volume at 15.01 Å³ per atom. The calculation puts the total energy at -7.888 eV per atom.

Here is a relaxed structure of ErCo3Ni2 from the Open Quantum Materials Database. Energies are from PBE.

The structure belongs to space group P6/mmm (No. 191); the cell edges are 4.8175, 4.8175 and 3.9681 Å and the angles 90.00°, 90.00° and 120.00°. The inequivalent atoms are Er at (0.0000, 0.0000, 0.0000), Co at (0.0000, 0.5000, 0.5000) and Ni at (0.3333, 0.6667, 0.0000).

The calculation puts the calculated volume at 13.29 Å³ per atom. For the formation energy, the calculation gives -205 meV/atom. The calculation puts the total energy at -6.374 eV per atom.

Look up the calculated volume of the seventh one.
25.01 Å³ per atom